No. 1
Below is a geometry-optimized SbOsBr structure, with properties calculated at the PBE-GGA level.

raw formation energy: 0.61 eV per atom
ΔE to the lowest computed polymorph: 0.157 eV per atom
mass density: 9.195 Mg/m³

Lattice parameters (Å, degrees): 7.4021 7.4021 7.4021 155.29 155.29 35.22
With the nearest neighbours (Å) after each atom.
Fractional coordinates of all 3 atoms:
Sb 0.0000 0.0000 0.0000  4 Os 2.78
Os 0.6165 0.6165 0.0000  4 Sb 2.78, 4 Br 2.88
Br 0.2450 0.2450 0.0000  4 Os 2.88, 4 Br 3.17

=====

No. 2
Below is a geometry-optimized Sb2OsBr structure, with properties calculated at the PBE-GGA level.

raw formation energy: 0.27 eV per atom
ΔE to the lowest computed polymorph: 0.205 eV per atom
mass density: 7.628 Mg/m³

Lattice parameters (Å, degrees): 4.9617 4.9617 7.0127 108.80 108.80 43.68
With the nearest neighbours (Å) after each atom.
Fractional coordinates of all 4 atoms:
Sb 0.0000 0.0000 0.0000  3 Os 2.63-2.73, 1 Sb 2.91
Sb 0.1599 0.1599 0.7070  2 Os 2.70, 1 Sb 2.91
Os 0.7044 0.7044 0.0025  5 Sb 2.63-2.73, 2 Br 2.80
Br 0.3562 0.3562 0.3070  2 Os 2.80

=====

No. 3
Below is a geometry-optimized Sb2OsBr structure, with properties calculated at the PBE-GGA level.

raw formation energy: 1.13 eV per atom
ΔE to the lowest computed polymorph: 1.059 eV per atom
mass density: 9.713 Mg/m³

Lattice parameters (Å, degrees): 4.2103 4.2103 4.9538 90.00 90.00 90.00
With the nearest neighbours (Å) after each atom.
Fractional coordinates of all 4 atoms:
Sb 0.0000 0.5000 0.0000  4 Sb 2.98, 4 Br 3.25, 4 Os 3.25
Sb 0.5000 0.0000 0.0000  4 Sb 2.98, 4 Br 3.25, 4 Os 3.25
Os 0.0000 0.0000 0.5000  4 Br 2.98, 8 Sb 3.25
Br 0.5000 0.5000 0.5000  4 Os 2.98, 8 Sb 3.25

=====

No. 4
Below is a geometry-optimized Sb2OsBr structure, with properties calculated at the PBE-GGA level.

raw formation energy: 0.07 eV per atom
ΔE to the lowest computed polymorph: 0.000 eV per atom
mass density: 7.358 Mg/m³

Lattice parameters (Å, degrees): 4.0732 4.0732 8.3938 103.82 103.82 59.99
With the nearest neighbours (Å) after each atom.
Fractional coordinates of all 4 atoms:
Sb 0.1161 0.1161 0.3452  3 Os 2.66, 1 Br 2.79
Sb 0.8839 0.8839 0.6548  3 Os 2.66, 1 Br 2.79
Os 0.5000 0.5000 0.5000  6 Sb 2.66
Br 0.0000 0.0000 0.0000  2 Sb 2.79

=====

No. 5
Below is a geometry-optimized Sb2OsBr structure, with properties calculated at the PBE-GGA level.

raw formation energy: 0.70 eV per atom
ΔE to the lowest computed polymorph: 0.628 eV per atom
mass density: 9.140 Mg/m³

Lattice parameters (Å, degrees): 3.2168 3.2168 10.5623 90.00 90.00 121.36
With the nearest neighbours (Å) after each atom.
Fractional coordinates of all 4 atoms:
Sb 0.0000 0.0000 0.0000  2 Os 2.69
Sb 0.5000 0.5000 0.3190  6 Sb 3.15-3.22, 2 Br 3.34
Os 0.5000 0.5000 0.7938  2 Br 2.60, 2 Sb 2.69
Br 0.0000 0.0000 0.5984  2 Os 2.60

=====

No. 6
Below is a geometry-optimized Sb2OsBr structure, with properties calculated at the PBE-GGA level.

raw formation energy: 0.26 eV per atom
ΔE to the lowest computed polymorph: 0.194 eV per atom
mass density: 8.641 Mg/m³

Lattice parameters (Å, degrees): 9.0665 9.0665 9.0665 158.66 158.65 30.37
With the nearest neighbours (Å) after each atom.
Fractional coordinates of all 4 atoms:
Sb 0.0000 0.0000 0.0000  4 Os 2.78
Sb 0.7006 0.2006 0.5000  2 Os 2.66
Os 0.5824 0.5824 0.0000  6 Sb 2.66-2.78
Br 0.3199 0.8199 0.5000  4 Sb 3.16, 4 Br 3.36

=====

No. 7
Below is a geometry-optimized SbOs4Br structure, with properties calculated at the PBE-GGA level.

raw formation energy: 1.39 eV per atom
mass density: 14.755 Mg/m³

Lattice parameters (Å, degrees): 5.3508 5.3508 5.3508 60.00 60.00 60.00
With the nearest neighbours (Å) after each atom.
Fractional coordinates of all 6 atoms:
Sb 0.0000 0.0000 0.0000  12 Os 3.14, 4 Br 3.28
Os 0.3747 0.3747 0.3747  6 Os 2.67-2.68
Os 0.3747 0.3747 0.8760  6 Os 2.67-2.68
Os 0.3747 0.8760 0.3747  6 Os 2.67-2.68
Os 0.8760 0.3747 0.3747  6 Os 2.67-2.68
Br 0.7500 0.7500 0.7500  12 Os 3.14, 4 Sb 3.28

=====

No. 8
Below is a geometry-optimized SbOsBr4 structure, with properties calculated at the PBE-GGA level.

raw formation energy: 1.54 eV per atom
mass density: 6.513 Mg/m³

Lattice parameters (Å, degrees): 6.1068 6.1068 6.1068 60.00 60.00 60.00
With the nearest neighbours (Å) after each atom.
Fractional coordinates of all 6 atoms:
Sb 0.0000 0.0000 0.0000  12 Br 3.58, 4 Os 3.74
Os 0.2500 0.2500 0.2500  12 Br 3.58, 4 Sb 3.74
Br 0.1268 0.6244 0.6244  6 Br 3.04-3.07
Br 0.6244 0.1268 0.6244  6 Br 3.04-3.07
Br 0.6244 0.6244 0.1268  6 Br 3.04-3.07
Br 0.6244 0.6244 0.6244  6 Br 3.04-3.07

=====

No. 9
Below is a geometry-optimized Sb2OsBr structure, with properties calculated at the PBE-GGA level.

raw formation energy: 0.96 eV per atom
ΔE to the lowest computed polymorph: 0.893 eV per atom
mass density: 9.950 Mg/m³

Lattice parameters (Å, degrees): 4.9492 4.9492 4.9492 60.00 60.00 60.00
With the nearest neighbours (Å) after each atom.
Fractional coordinates of all 4 atoms:
Sb 0.0000 0.0000 0.0000  4 Os 3.03, 4 Sb 3.03
Sb 0.2500 0.2500 0.2500  4 Br 3.03, 4 Sb 3.03
Os 0.7500 0.7500 0.7500  4 Sb 3.03, 4 Br 3.03
Br 0.5000 0.5000 0.5000  4 Os 3.03, 4 Sb 3.03

=====

No. 10
Below is a geometry-optimized Sb2OsBr2 structure, with properties calculated at the PBE-GGA level.

raw formation energy: 0.38 eV per atom
ΔE to the lowest computed polymorph: 0.000 eV per atom
mass density: 7.085 Mg/m³

Lattice parameters (Å, degrees): 7.0178 7.0178 5.6496 90.00 90.00 90.00
With the nearest neighbours (Å) after each atom.
Fractional coordinates of all 10 atoms:
Sb 0.1540 0.3460 0.0000  2 Os 2.66, 2 Br 2.84
Sb 0.3460 0.8460 0.0000  2 Os 2.66, 2 Br 2.84
Sb 0.6540 0.1540 0.0000  2 Os 2.66, 2 Br 2.84
Sb 0.8460 0.6540 0.0000  2 Os 2.66, 2 Br 2.84
Os 0.0000 0.0000 0.0000  4 Sb 2.66
Os 0.5000 0.5000 0.0000  4 Sb 2.66
Br 0.1875 0.3125 0.5000  2 Sb 2.84
Br 0.3125 0.8125 0.5000  2 Sb 2.84
Br 0.6875 0.1875 0.5000  2 Sb 2.84
Br 0.8125 0.6875 0.5000  2 Sb 2.84

=====

No. 11
Below is a geometry-optimized SbOsBr structure, with properties calculated at the PBE-GGA level.

raw formation energy: 0.75 eV per atom
ΔE to the lowest computed polymorph: 0.297 eV per atom
mass density: 9.228 Mg/m³

Lattice parameters (Å, degrees): 8.5345 8.2182 3.1972 84.62 73.48 21.90
With the nearest neighbours (Å) after each atom.
Fractional coordinates of all 3 atoms:
Sb 0.0000 0.0000 0.0000  2 Os 2.68
Os 0.6346 0.6346 0.3654  2 Br 2.60, 2 Sb 2.68
Br 0.2630 0.2630 0.7370  2 Os 2.60

=====

No. 12
Below is a geometry-optimized Sb2OsBr structure, with properties calculated at the PBE-GGA level.

raw formation energy: 0.58 eV per atom
ΔE to the lowest computed polymorph: 0.513 eV per atom
mass density: 8.731 Mg/m³

Lattice parameters (Å, degrees): 3.3675 3.7637 7.7084 90.00 90.00 90.00
With the nearest neighbours (Å) after each atom.
Fractional coordinates of all 4 atoms:
Sb 0.0000 0.0000 0.0000  4 Os 2.71
Sb 0.5000 0.5000 0.2424  1 Os 2.85, 4 Sb 3.14
Os 0.5000 0.5000 0.8724  5 Sb 2.71-2.85
Br 0.0000 0.0000 0.6007  1 Sb 3.08, 4 Os 3.28, 2 Br 3.37

=====

No. 13
Below is a geometry-optimized SbOsBr structure, with properties calculated at the PBE-GGA level.

raw formation energy: 0.56 eV per atom
ΔE to the lowest computed polymorph: 0.111 eV per atom
mass density: 8.498 Mg/m³

Lattice parameters (Å, degrees): 3.3243 3.3243 8.0014 90.00 90.00 120.00
With the nearest neighbours (Å) after each atom.
Fractional coordinates of all 3 atoms:
Sb 0.0000 0.0000 0.0000  3 Os 2.67
Os 0.3333 0.6667 0.7678  3 Sb 2.67, 3 Br 2.77
Br 0.6667 0.3333 0.5189  3 Os 2.77

=====

No. 14
Below is a geometry-optimized Sb2OsBr structure, with properties calculated at the PBE-GGA level.

raw formation energy: 0.39 eV per atom
ΔE to the lowest computed polymorph: 0.320 eV per atom
mass density: 6.236 Mg/m³

Lattice parameters (Å, degrees): 7.8618 7.8618 7.8618 130.63 130.63 72.40
With the nearest neighbours (Å) after each atom.
Fractional coordinates of all 8 atoms:
Sb 0.0281 0.6250 0.9031  2 Os 2.49
Sb 0.3750 0.2781 0.4031  2 Os 2.49
Sb 0.7219 0.1250 0.0969  2 Os 2.49
Sb 0.8750 0.9719 0.5969  2 Os 2.49
Os 0.0000 0.0000 0.0000  4 Sb 2.49
Os 0.7500 0.2500 0.5000  4 Sb 2.49
Br 0.2500 0.7500 0.5000  4 Sb 3.23
Br 0.5000 0.5000 0.0000  4 Sb 3.23

=====

No. 15
Below is a geometry-optimized SbOsBr structure, with properties calculated at the PBE-GGA level.

raw formation energy: 0.54 eV per atom
ΔE to the lowest computed polymorph: 0.085 eV per atom
mass density: 9.941 Mg/m³

Lattice parameters (Å, degrees): 4.5238 4.5238 4.5238 60.00 60.00 60.00
With the nearest neighbours (Å) after each atom.
Fractional coordinates of all 3 atoms:
Sb 0.0000 0.0000 0.0000  4 Os 2.77
Os 0.2500 0.2500 0.2500  4 Br 2.77, 4 Sb 2.77
Br 0.5000 0.5000 0.5000  4 Os 2.77

=====

No. 16
Below is a geometry-optimized SbOsBr structure, with properties calculated at the PBE-GGA level.

raw formation energy: 0.45 eV per atom
ΔE to the lowest computed polymorph: 0.000 eV per atom
mass density: 7.846 Mg/m³

Lattice parameters (Å, degrees): 4.0529 4.0529 5.8309 90.00 90.00 120.00
With the nearest neighbours (Å) after each atom.
Fractional coordinates of all 3 atoms:
Sb 0.0000 0.0000 0.0000  3 Os 2.54
Os 0.3333 0.6667 0.8327  3 Sb 2.54, 3 Br 2.82
Br 0.6667 0.3333 0.5630  3 Os 2.82

=====

No. 17
Below is a geometry-optimized Sb2OsBr structure, with properties calculated at the PBE-GGA level.

raw formation energy: 0.65 eV per atom
ΔE to the lowest computed polymorph: 0.579 eV per atom
mass density: 9.088 Mg/m³

Lattice parameters (Å, degrees): 5.4952 5.4952 3.2370 101.47 101.47 89.13
With the nearest neighbours (Å) after each atom.
Fractional coordinates of all 4 atoms:
Sb 0.0000 0.5000 0.0000  2 Br 2.75, 2 Os 2.75
Sb 0.5000 0.0000 0.0000  2 Br 2.75, 2 Os 2.75
Os 0.0000 0.0000 0.0000  4 Sb 2.75
Br 0.5000 0.5000 0.0000  4 Sb 2.75

=====

No. 18
Below is a geometry-optimized Sb2OsBr structure, with properties calculated at the PBE-GGA level.

raw formation energy: 0.18 eV per atom
ΔE to the lowest computed polymorph: 0.108 eV per atom
mass density: 9.505 Mg/m³

Lattice parameters (Å, degrees): 3.2898 3.2981 8.2708 90.00 90.35 90.00
With the nearest neighbours (Å) after each atom.
Fractional coordinates of all 4 atoms:
Sb 0.0037 0.0000 0.2028  4 Os 2.87
Sb 0.9963 0.0000 0.7972  4 Os 2.87
Os 0.5000 0.5000 0.0000  8 Sb 2.87
Br 0.5000 0.5000 0.5000  4 Br 3.29-3.30, 8 Sb 3.37-3.40

=====

No. 19
Below is a geometry-optimized Sb2OsBr structure, with properties calculated at the PBE-GGA level.

raw formation energy: 0.82 eV per atom
ΔE to the lowest computed polymorph: 0.751 eV per atom
mass density: 10.013 Mg/m³

Lattice parameters (Å, degrees): 4.9388 4.9388 4.9388 60.00 60.00 60.00
With the nearest neighbours (Å) after each atom.
Fractional coordinates of all 4 atoms:
Sb 0.2500 0.2500 0.2500  4 Br 3.02, 4 Os 3.02
Sb 0.7500 0.7500 0.7500  4 Br 3.02, 4 Os 3.02
Os 0.0000 0.0000 0.0000  8 Sb 3.02
Br 0.5000 0.5000 0.5000  8 Sb 3.02

=====

No. 20
Below is a geometry-optimized Sb2OsBr structure, with properties calculated at the PBE-GGA level.

raw formation energy: 0.53 eV per atom
ΔE to the lowest computed polymorph: 0.457 eV per atom
mass density: 8.911 Mg/m³

Lattice parameters (Å, degrees): 9.5765 9.5765 9.5765 20.66 20.66 20.66
With the nearest neighbours (Å) after each atom.
Fractional coordinates of all 4 atoms:
Sb 0.0000 0.0000 0.0000  9 Sb 3.27-3.43
Sb 0.2409 0.2409 0.2409  3 Os 2.63
Os 0.5129 0.5129 0.5129  3 Sb 2.63, 3 Br 2.77
Br 0.7774 0.7774 0.7774  3 Os 2.77